Entry 1:
# SmGdTm, relaxed, DFT PBE
data_SmGdTm
_chemical_formula_sum 'Sm2 Gd2 Tm2'
_cell_length_a 3.5789
_cell_length_b 3.5789
_cell_length_c 15.0478
_cell_angle_alpha 90.00
_cell_angle_beta 90.00
_cell_angle_gamma 90.00
_symmetry_space_group_name_H-M 'I 4 m m'
_symmetry_Int_Tables_number 107
_symmetry_space_group_name_Hall 'I 4 -2'
loop_
_atom_site_label
_atom_site_type_symbol
_atom_site_fract_x
_atom_site_fract_y
_atom_site_fract_z
Sm1 Sm 0.0000 0.0000 0.0000
Gd1 Gd 0.0000 0.0000 0.3299
Tm1 Tm 0.0000 0.0000 0.6642
# E_tot = -7.733 eV/atom
# energy of formation = 0.02 eV per atom
# DOS(E_F) = 4.87 states/eV/f.u.
# energy above the most stable polymorph in this dataset = 0.00 eV/f.u.



Entry 2:
# MnTlPbCl6, relaxed, DFT PBE
data_MnTlPbCl6
_chemical_formula_sum 'Mn1 Tl1 Pb1 Cl6'
_cell_length_a 6.7273
_cell_length_b 7.0796
_cell_length_c 7.0817
_cell_angle_alpha 119.54
_cell_angle_beta 90.69
_cell_angle_gamma 90.78
_symmetry_space_group_name_H-M 'P 1'
_symmetry_Int_Tables_number 1
loop_
_symmetry_equiv_pos_as_xyz
'x,y,z'
loop_
_atom_site_label
_atom_site_type_symbol
_atom_site_fract_x
_atom_site_fract_y
_atom_site_fract_z
Mn1 Mn 0.0000 0.0000 0.0000
Tl1 Tl 0.5006 0.3446 0.6559
Pb1 Pb 0.0008 0.6564 0.3440
Cl1 Cl 0.1987 0.2738 0.0072
Cl2 Cl 0.2032 0.9991 0.2625
Cl3 Cl 0.2331 0.7092 0.6924
Cl4 Cl 0.7670 0.3084 0.2905
Cl5 Cl 0.7968 0.7380 0.0029
Cl6 Cl 0.8008 0.9911 0.7261
# E_tot = -3.967 eV/atom
# formation energy without anion corrections = -1.042 eV per atom



Entry 3:
# Sr2AcTl9, relaxed, DFT PBE
data_Sr2AcTl9
_chemical_formula_sum 'Sr2 Ac1 Tl9'
_cell_length_a 4.9996
_cell_length_b 4.9996
_cell_length_c 14.9855
_cell_angle_alpha 90.00
_cell_angle_beta 90.00
_cell_angle_gamma 90.00
_symmetry_space_group_name_H-M 'P 4/m m m'
_symmetry_Int_Tables_number 123
_symmetry_space_group_name_Hall '-P 4 2'
loop_
_atom_site_label
_atom_site_type_symbol
_atom_site_fract_x
_atom_site_fract_y
_atom_site_fract_z
Sr1 Sr 0.0000 0.0000 0.1655
Ac1 Ac 0.0000 0.0000 0.5000
Tl1 Tl 0.0000 0.5000 0.0000
Tl2 Tl 0.0000 0.5000 0.3314
Tl3 Tl 0.5000 0.5000 0.1670
Tl4 Tl 0.5000 0.5000 0.5000
# E_tot = -2.670 eV/atom
# energy of formation = -0.27 eV per atom
# DOS(E_F) = 8.27 states/eV/f.u.



Entry 4:
# Ho2Al2SnRu5, relaxed, DFT PBE
data_Ho2Al2SnRu5
_chemical_formula_sum 'Ho4 Al4 Sn2 Ru10'
_cell_length_a 10.0645
_cell_length_b 10.0645
_cell_length_c 3.3846
_cell_angle_alpha 90.00
_cell_angle_beta 90.00
_cell_angle_gamma 90.00
_symmetry_space_group_name_H-M 'P 4/m b m'
_symmetry_Int_Tables_number 127
_symmetry_space_group_name_Hall '-P 4 2ab'
loop_
_atom_site_label
_atom_site_type_symbol
_atom_site_fract_x
_atom_site_fract_y
_atom_site_fract_z
Ho1 Ho 0.1729 0.3271 0.0000
Al1 Al 0.1254 0.6254 0.0000
Sn1 Sn 0.0000 0.0000 0.0000
Ru1 Ru 0.0000 0.5000 0.5000
Ru2 Ru 0.0661 0.7950 0.5000
# E_tot = -7.100 eV/atom
# energy of formation = -0.40 eV per atom
# DOS(E_F) = 12.06 states/eV/f.u.



Entry 5:
# Sm3YEr3, relaxed, DFT PBE
data_Sm3YEr3
_chemical_formula_sum 'Sm18 Y6 Er18'
_cell_length_a 6.1858
_cell_length_b 6.1858
_cell_length_c 42.9482
_cell_angle_alpha 90.00
_cell_angle_beta 90.00
_cell_angle_gamma 120.00
_symmetry_space_group_name_H-M 'R -3'
_symmetry_Int_Tables_number 148
_symmetry_space_group_name_Hall '-R 3'
loop_
_atom_site_label
_atom_site_type_symbol
_atom_site_fract_x
_atom_site_fract_y
_atom_site_fract_z
Sm1 Sm 0.0002 0.3311 0.1315
Y1 Y 0.0000 0.0000 0.3333
Er1 Er 0.0003 0.3332 0.2678
# E_tot = -4.739 eV/atom
# energy of formation = 0.16 eV per atom
# DOS(E_F) = 10.63 states/eV/f.u.
# energy above the most stable polymorph in this dataset = 1.03 eV/f.u.



Entry 6:
# TaFe2Te, relaxed, DFT PBE
data_TaFe2Te
_chemical_formula_sum 'Ta2 Fe4 Te2'
_cell_length_a 3.3609
_cell_length_b 4.1618
_cell_length_c 8.7478
_cell_angle_alpha 90.00
_cell_angle_beta 90.00
_cell_angle_gamma 90.00
_symmetry_space_group_name_H-M 'I m m 2'
_symmetry_Int_Tables_number 44
loop_
_symmetry_equiv_pos_as_xyz
'x,y,z'
'-x,-y,z'
'-x,y,z'
'x,-y,z'
'x+1/2,y+1/2,z+1/2'
'-x+1/2,-y+1/2,z+1/2'
'-x+1/2,y+1/2,z+1/2'
'x+1/2,-y+1/2,z+1/2'
loop_
_atom_site_label
_atom_site_type_symbol
_atom_site_fract_x
_atom_site_fract_y
_atom_site_fract_z
Ta1 Ta 0.0000 0.0000 0.0000
Fe1 Fe 0.0000 0.0000 0.5045
Fe2 Fe 0.0000 0.5000 0.2433
Te1 Te 0.0000 0.5000 0.7595
# E_tot = -7.712 eV/atom
# DOS(E_F) = 3.47 states/eV/f.u.
# formation energy without anion corrections = 0.268 eV per atom



Entry 7:
# FeIr3C, relaxed, DFT PBE
data_FeIr3C
_chemical_formula_sum 'Fe1 Ir3 C1'
_cell_length_a 4.0690
_cell_length_b 4.0690
_cell_length_c 4.0690
_cell_angle_alpha 90.00
_cell_angle_beta 90.00
_cell_angle_gamma 90.00
_symmetry_space_group_name_H-M 'P m -3 m'
_symmetry_Int_Tables_number 221
_symmetry_space_group_name_Hall '-P 4 2 3'
loop_
_atom_site_label
_atom_site_type_symbol
_atom_site_fract_x
_atom_site_fract_y
_atom_site_fract_z
Fe1 Fe 0.0000 0.0000 0.0000
Ir1 Ir 0.0000 0.5000 0.5000
C1 C 0.5000 0.5000 0.5000
# E_tot = -8.402 eV/atom
# energy of formation = 0.45 eV per atom
# DOS(E_F) = 5.92 states/eV/f.u.
# energy above the most stable polymorph in this dataset = 0.00 eV/f.u.



Entry 8:
# Rb2TcGeBr6, relaxed, DFT PBE
data_Rb2TcGeBr6
_chemical_formula_sum 'Rb4 Tc2 Ge2 Br12'
_cell_length_a 7.8355
_cell_length_b 7.8355
_cell_length_c 11.1312
_cell_angle_alpha 90.00
_cell_angle_beta 90.00
_cell_angle_gamma 90.00
_symmetry_space_group_name_H-M 'I 4/m m m'
_symmetry_Int_Tables_number 139
_symmetry_space_group_name_Hall '-I 4 2'
loop_
_atom_site_label
_atom_site_type_symbol
_atom_site_fract_x
_atom_site_fract_y
_atom_site_fract_z
Rb1 Rb 0.0000 0.5000 0.2500
Tc1 Tc 0.0000 0.0000 0.0000
Ge1 Ge 0.0000 0.0000 0.5000
Br1 Br 0.0000 0.0000 0.2473
Br2 Br 0.2464 0.2464 0.0000
# E_tot = -3.514 eV/atom
# DOS(E_F) = 7.01 states/eV/f.u.
# formation energy without anion corrections = -0.819 eV per atom



Entry 9:
# LiMnN3, relaxed, DFT PBE
data_LiMnN3
_chemical_formula_sum 'Li1 Mn1 N3'
_cell_length_a 3.4174
_cell_length_b 3.4174
_cell_length_c 3.4174
_cell_angle_alpha 90.00
_cell_angle_beta 90.00
_cell_angle_gamma 90.00
_symmetry_space_group_name_H-M 'P m -3 m'
_symmetry_Int_Tables_number 221
_symmetry_space_group_name_Hall '-P 4 2 3'
loop_
_atom_site_label
_atom_site_type_symbol
_atom_site_fract_x
_atom_site_fract_y
_atom_site_fract_z
Li1 Li 0.0000 0.0000 0.0000
Mn1 Mn 0.5000 0.5000 0.5000
N1 N 0.0000 0.0000 0.5000
# E_tot = -5.078 eV/atom
# DOS(E_F) = 7.36 states/eV/f.u.
# formation energy without anion corrections = 2.134 eV per atom



Entry 10:
# MgNb2TcN, relaxed, DFT PBE
data_MgNb2TcN
_chemical_formula_sum 'Mg1 Nb2 Tc1 N1'
_cell_length_a 4.3040
_cell_length_b 4.3040
_cell_length_c 3.9895
_cell_angle_alpha 90.00
_cell_angle_beta 90.00
_cell_angle_gamma 90.00
_symmetry_space_group_name_H-M 'P 4/m m m'
_symmetry_Int_Tables_number 123
_symmetry_space_group_name_Hall '-P 4 2'
loop_
_atom_site_label
_atom_site_type_symbol
_atom_site_fract_x
_atom_site_fract_y
_atom_site_fract_z
Mg1 Mg 0.0000 0.0000 0.0000
Nb1 Nb 0.0000 0.5000 0.5000
Tc1 Tc 0.5000 0.5000 0.0000
N1 N 0.0000 0.0000 0.5000
# E_tot = -8.354 eV/atom
# DOS(E_F) = 2.02 states/eV/f.u.
# formation energy without anion corrections = -0.269 eV per atom



Entry 11:
# Li2MnPbBr8, relaxed, DFT PBE
data_Li2MnPbBr8
_chemical_formula_sum 'Li2 Mn1 Pb1 Br8'
_cell_length_a 6.6519
_cell_length_b 6.9537
_cell_length_c 8.2442
_cell_angle_alpha 89.67
_cell_angle_beta 89.65
_cell_angle_gamma 81.25
_symmetry_space_group_name_H-M 'P -1'
_symmetry_Int_Tables_number 2
loop_
_symmetry_equiv_pos_as_xyz
'x,y,z'
'-x,-y,-z'
loop_
_atom_site_label
_atom_site_type_symbol
_atom_site_fract_x
_atom_site_fract_y
_atom_site_fract_z
Li1 Li 0.0038 0.0042 0.2358
Mn1 Mn 0.5000 0.5000 0.0000
Pb1 Pb 0.5000 0.5000 0.5000
Br1 Br 0.1820 0.8311 0.4999
Br2 Br 0.2077 0.8118 0.9999
Br3 Br 0.3111 0.3436 0.2076
Br4 Br 0.3118 0.3442 0.7960
# E_tot = -3.394 eV/atom
# DOS(E_F) = 2.75 states/eV/f.u.
# formation energy without anion corrections = -0.887 eV per atom



Entry 12:
# V6GaSi, relaxed, DFT PBE
data_V6GaSi
_chemical_formula_sum 'V6 Ga1 Si1'
_cell_length_a 4.7414
_cell_length_b 4.7414
_cell_length_c 4.7414
_cell_angle_alpha 90.00
_cell_angle_beta 90.00
_cell_angle_gamma 90.00
_symmetry_space_group_name_H-M 'P m -3'
_symmetry_Int_Tables_number 200
_symmetry_space_group_name_Hall '-P 2 2 3'
loop_
_atom_site_label
_atom_site_type_symbol
_atom_site_fract_x
_atom_site_fract_y
_atom_site_fract_z
V1 V 0.0000 0.2572 0.5000
Ga1 Ga 0.0000 0.0000 0.0000
Si1 Si 0.5000 0.5000 0.5000
# E_tot = -8.208 eV/atom
# DOS(E_F) = 16.32 states/eV/f.u.
# energy above the most stable polymorph in this dataset = 0.00 eV/f.u.
# formation energy without anion corrections = -0.313 eV per atom



- Which of these has the highest E_tot?
  Sr2AcTl9



- Number 8 is which compound?
  Rb2TcGeBr6



What did the sixth record say?
# TaFe2Te, relaxed, DFT PBE
data_TaFe2Te
_chemical_formula_sum 'Ta2 Fe4 Te2'
_cell_length_a 3.3609
_cell_length_b 4.1618
_cell_length_c 8.7478
_cell_angle_alpha 90.00
_cell_angle_beta 90.00
_cell_angle_gamma 90.00
_symmetry_space_group_name_H-M 'I m m 2'
_symmetry_Int_Tables_number 44
loop_
_symmetry_equiv_pos_as_xyz
'x,y,z'
'-x,-y,z'
'-x,y,z'
'x,-y,z'
'x+1/2,y+1/2,z+1/2'
'-x+1/2,-y+1/2,z+1/2'
'-x+1/2,y+1/2,z+1/2'
'x+1/2,-y+1/2,z+1/2'
loop_
_atom_site_label
_atom_site_type_symbol
_atom_site_fract_x
_atom_site_fract_y
_atom_site_fract_z
Ta1 Ta 0.0000 0.0000 0.0000
Fe1 Fe 0.0000 0.0000 0.5045
Fe2 Fe 0.0000 0.5000 0.2433
Te1 Te 0.0000 0.5000 0.7595
# E_tot = -7.712 eV/atom
# DOS(E_F) = 3.47 states/eV/f.u.
# formation energy without anion corrections = 0.268 eV per atom



- Which formula does entry 4 have?
  Ho2Al2SnRu5